1.
DFT (GGA-PBE) results for ZnBiIr2N after structural relaxation.

## Properties
Uncorrected formation energy in meV per atom: 590
D(E_F) in states/eV/cell: 5.618
VASP energy in eV per atom: -5.650

abc: 3.993 5.363 3.993
angles: 90.00 90.00 90.00
Positions (direct):
Zn: 0.000 0.500 0.000
Bi: 0.500 0.500 0.500
N: 0.000 0.000 0.000
Ir: 0.500 0.000 0.000
Ir: 0.000 0.000 0.500

=====

2.
DFT (GGA-PBE) results for Na3BiIr after structural relaxation.

## Properties
Energy of formation in meV/atom: 747
D(E_F) in states/eV/cell: 6.628
VASP energy in eV per atom: -2.593
Distance to the lowest polymorph of the same formula in meV/atom: 0

abc: 5.385 5.385 5.385
angles: 90.00 90.00 90.00
Positions (direct):
Bi: 0.500 0.500 0.500
Na: 0.000 0.500 0.000
Na: 0.000 0.000 0.500
Na: 0.500 0.000 0.000
Ir: 0.000 0.000 0.000